[1]
VNi2Rh8 | PBE | relaxed

Computed properties:
- volume (A^3/atom) = 14.2
- size of the total moment (Bohr magnetons per cell) = 0.0
- calculated total energy (eV per atom) = -7.154
- space-group type = Cmmm (65)

Unit cell a=4.0231 b=6.3188 c=6.3188 alpha=104.08 beta=90.02 gamma=90.02
Sites, in units of the cell vectors:
Ni  0.0000  0.3843  0.6157
Ni  0.0000  0.6157  0.3843
Rh  0.4998  0.6696  0.6696
Rh  0.5000  0.7461  0.2539
Rh  0.9998  0.9648  0.7014
Rh  0.5002  0.3304  0.3304
Rh  0.5000  0.2539  0.7461
Rh  0.9998  0.7014  0.9648
Rh  0.0002  0.2986  0.0352
Rh  0.0002  0.0352  0.2986
V  0.5000  0.0000  0.0000


[2]
V2Ni7Rh2 | PBE | relaxed

Computed properties:
- volume (A^3/atom) = 12.2
- size of the total moment (Bohr magnetons per cell) = 0.0
- calculated total energy (eV per atom) = -6.674
- space-group type = P-1 (2)

Unit cell a=4.3763 b=6.5340 c=6.5159 alpha=73.25 beta=77.41 gamma=48.88
Sites, in units of the cell vectors:
V  0.0611  0.7037  0.7368
V  0.9389  0.2963  0.2632
Ni  0.7575  0.4583  0.5929
Ni  0.3316  0.4101  0.0756
Ni  0.0000  0.0000  0.0000
Ni  0.7408  0.0324  0.3984
Ni  0.2592  0.9676  0.6016
Ni  0.2425  0.5417  0.4071
Ni  0.6684  0.5899  0.9244
Rh  0.4174  0.1793  0.7888
Rh  0.5826  0.8207  0.2112


[3]
VNi6Rh | PBE | relaxed

Computed properties:
- volume (A^3/atom) = 11.6
- size of the total moment (Bohr magnetons per cell) = 1.9
- calculated total energy (eV per atom) = -6.483
- space-group type = Amm2 (38)

Unit cell a=4.1047 b=5.1215 c=5.1215 alpha=120.70 beta=90.00 gamma=90.00
Sites, in units of the cell vectors:
Ni  0.0000  0.8313  0.6736
Ni  0.0000  0.3311  0.6689
Ni  0.5000  0.6696  0.8327
Ni  0.5000  0.1673  0.3304
Ni  0.0000  0.8365  0.1635
Ni  0.0000  0.3264  0.1687
V  0.5000  0.1676  0.8324
Rh  0.5000  0.6701  0.3299


[4]
VNi5Rh8 | PBE | relaxed

Computed properties:
- volume (A^3/atom) = 13.7
- size of the total moment (Bohr magnetons per cell) = 7.0
- calculated total energy (eV per atom) = -6.754
- space-group type = I-4 (82)

Unit cell a=6.3042 b=6.3042 c=6.3042 alpha=111.02 beta=106.42 gamma=111.02
Sites, in units of the cell vectors:
Rh  0.6639  0.4033  0.9257
Rh  0.7394  0.2618  0.3361
Rh  0.3422  0.2792  0.4359
Rh  0.1567  0.7208  0.0630
Rh  0.5641  0.9063  0.8433
Rh  0.5224  0.5967  0.2606
Rh  0.9370  0.0937  0.6578
Rh  0.0743  0.7382  0.4776
Ni  0.0366  0.3176  0.1274
Ni  0.8098  0.6824  0.7189
Ni  0.2811  0.0909  0.9634
Ni  0.8726  0.9091  0.1902
Ni  0.5000  0.0000  0.5000
V  0.2500  0.5000  0.7500


[5]
V4NiRh4 | PBE | relaxed

Computed properties:
- volume (A^3/atom) = 13.5
- size of the total moment (Bohr magnetons per cell) = 0.0
- calculated total energy (eV per atom) = -8.258
- space-group type = I4/mmm (139)

Unit cell a=3.6094 b=6.0751 c=6.0751 alpha=84.94 beta=72.72 gamma=72.72
Sites, in units of the cell vectors:
Rh  0.3365  0.3268  0.0001
Rh  0.6635  0.6732  0.9999
Rh  0.3367  0.9999  0.3268
Rh  0.6633  0.0001  0.6732
V  0.0000  0.3246  0.6754
V  0.3246  0.6754  0.6754
V  0.6754  0.3246  0.3246
V  0.0000  0.6754  0.3246
Ni  0.0000  0.0000  0.0000


[6]
V3NiRh2 | PBE | relaxed

Computed properties:
- volume (A^3/atom) = 13.7
- size of the total moment (Bohr magnetons per cell) = 0.0
- calculated total energy (eV per atom) = -8.115
- space-group type = Cmc2_1 (36)

Unit cell a=4.5185 b=7.2468 c=7.2468 alpha=136.02 beta=90.00 gamma=90.00
Sites, in units of the cell vectors:
Ni  0.4855  0.3869  0.3869
Ni  0.9855  0.6131  0.6131
V  0.7896  0.0210  0.0210
V  0.5445  0.9729  0.3399
V  0.0445  0.6601  0.0271
V  0.5445  0.3399  0.9729
V  0.2896  0.9790  0.9790
V  0.0445  0.0271  0.6601
Rh  0.5469  0.8151  0.5403
Rh  0.0469  0.4597  0.1849
Rh  0.5469  0.5403  0.8151
Rh  0.0469  0.1849  0.4597


[7]
VNi6Rh8 | PBE | relaxed

Computed properties:
- volume (A^3/atom) = 13.9
- size of the total moment (Bohr magnetons per cell) = 3.0
- calculated total energy (eV per atom) = -6.609
- space-group type = P-3 (147)

Unit cell a=4.9613 b=6.9695 c=6.9695 alpha=120.00 beta=90.00 gamma=90.00
Sites, in units of the cell vectors:
Rh  0.1012  0.6393  0.9462
Rh  0.2575  0.6667  0.3333
Rh  0.8989  0.3607  0.0538
Rh  0.8989  0.6931  0.6393
Rh  0.1012  0.3069  0.3607
Rh  0.1012  0.0538  0.6931
Rh  0.8989  0.9462  0.3069
Rh  0.7425  0.3333  0.6667
Ni  0.4068  0.6439  0.6746
Ni  0.4068  0.3254  0.9693
Ni  0.4068  0.0307  0.3561
Ni  0.5932  0.6746  0.0307
Ni  0.5932  0.3561  0.3254
Ni  0.5932  0.9693  0.6439
V  0.5000  0.0000  0.0000


[8]
V2Ni3Rh | PBE | relaxed

Computed properties:
- volume (A^3/atom) = 13.0
- size of the total moment (Bohr magnetons per cell) = 0.0
- calculated total energy (eV per atom) = -7.201
- energy relative to the lowest polymorph listed for this composition (meV per atom) = 101
- space-group type = I4_1/amd (141)

Unit cell a=7.7834 b=7.7834 c=7.5490 alpha=121.03 beta=121.03 gamma=90.00
Sites, in units of the cell vectors:
V  0.2765  0.0987  0.1974
V  0.9013  0.7235  0.8026
V  0.3487  0.0265  0.6974
V  0.9209  0.0987  0.1974
V  0.3487  0.6709  0.6974
V  0.3291  0.6513  0.3026
V  0.9013  0.0791  0.8026
V  0.9735  0.6513  0.3026
Rh  0.9417  0.4417  0.8835
Rh  0.5583  0.0583  0.1165
Rh  0.6917  0.6917  0.3835
Rh  0.3083  0.3083  0.6165
Ni  0.7195  0.2805  0.0000
Ni  0.9695  0.4695  0.5000
Ni  0.2805  0.2805  0.0000
Ni  0.1250  0.8750  0.7500
Ni  0.5305  0.0305  0.5000
Ni  0.2805  0.7195  0.0000
Ni  0.1250  0.3750  0.2500
Ni  0.1250  0.8750  0.2500
Ni  0.7195  0.7195  0.0000
Ni  0.6250  0.8750  0.7500
Ni  0.5305  0.4695  0.5000
Ni  0.9695  0.0305  0.5000